(1)
The following is a PBE calculation of AlH4Ru after structural relaxation, from the Alexandria database.

Properties
M_tot	0.000	μB/atom
final energy	-53.75	eV/cell
energy above the lowest structure with this stoichiometry	0.00	eV per formula unit
density of states at the Fermi level	0.51	states/eV/f.u.

```
AlH4Ru
1.0
3.218 -3.852 0.000
3.218 3.852 0.000
-2.494 0.000 4.203
Al H Ru
2 8 2
Cartesian
1.348 3.099 3.152
2.595 -3.099 1.051
1.296 1.730 2.014
-0.658 0.878 4.135
3.894 1.730 0.088
0.589 -0.878 2.034
3.353 0.878 2.169
0.049 -1.730 4.115
4.600 -0.878 0.068
2.647 -1.730 2.189
2.595 2.173 1.051
1.348 -2.173 3.152
```

(2)
The following is a PBE calculation of AlHRu after structural relaxation, from the Alexandria database.

Properties
M_tot	0.000	μB/atom
final energy	-32.55	eV/cell
energy above the lowest structure with this stoichiometry	0.95	eV per formula unit
density of states at the Fermi level	2.00	states/eV/f.u.

```
AlHRu
1.0
4.146 -1.398 0.000
4.146 1.398 0.000
-1.943 0.000 6.432
Al H Ru
2 2 2
Cartesian
0.217 0.000 1.317
6.131 0.000 5.116
2.479 0.000 1.459
3.869 0.000 4.973
0.191 0.000 3.901
6.157 0.000 2.531
```

(3)
The following is a PBE calculation of Sc2AlHRu after structural relaxation, from the Alexandria database.

Properties
M_tot	0.000	μB/atom
final energy	-31.70	eV/cell
density of states at the Fermi level	2.15	states/eV/f.u.

```
Sc2AlHRu
1.0
4.544 0.000 0.000
0.000 4.544 0.000
0.000 0.000 3.586
Sc Al H Ru
2 1 1 1
Cartesian
0.000 2.272 0.000
2.272 0.000 0.000
0.000 0.000 1.793
2.272 2.272 0.000
2.272 2.272 1.793
```

(4)
The following is a PBE calculation of ScAlHRu2 after structural relaxation, from the Alexandria database.

Properties
M_tot	0.000	μB/atom
final energy	-33.99	eV/cell
density of states at the Fermi level	3.28	states/eV/f.u.

```
ScAlHRu2
1.0
4.068 0.000 0.000
0.000 4.068 0.000
0.000 0.000 3.837
Sc Al H Ru
1 1 1 2
Cartesian
0.000 0.000 0.000
2.034 2.034 0.000
0.000 0.000 1.918
0.000 2.034 1.918
2.034 0.000 1.918
```

(5)
The following is a PBE calculation of AlSnH6Ru2 after structural relaxation, from the Alexandria database.

Properties
M_tot	0.000	μB/atom
final energy	-90.23	eV/cell
density of states at the Fermi level	3.55	states/eV/f.u.

```
AlSnH6Ru2
1.0
3.731 -4.599 0.000
3.731 4.599 0.000
-1.386 0.000 5.281
Al Sn H Ru
2 2 12 4
Cartesian
2.691 3.445 3.961
3.384 -3.445 1.320
3.384 0.772 1.320
2.691 -0.772 3.961
1.636 1.942 3.764
3.114 3.133 2.142
0.879 0.487 2.752
3.654 3.133 0.498
1.573 -0.487 0.112
3.746 1.942 4.158
2.329 -1.942 1.123
4.503 0.487 5.169
2.421 -3.133 4.782
5.196 -0.487 2.528
2.961 -3.133 3.139
4.439 -1.942 1.517
0.399 0.980 4.431
1.092 -0.980 1.791
4.983 0.980 3.490
5.676 -0.980 0.850
```

(6)
The following is a PBE calculation of TaAlHRu2 after structural relaxation, from the Alexandria database.

Properties
M_tot	0.000	μB/atom
final energy	-38.74	eV/cell
density of states at the Fermi level	2.25	states/eV/f.u.

```
TaAlHRu2
1.0
4.104 0.000 0.000
0.000 4.104 0.000
0.000 0.000 3.725
Ta Al H Ru
1 1 1 2
Cartesian
0.000 0.000 0.000
2.052 2.052 0.000
0.000 0.000 1.863
0.000 2.052 1.863
2.052 0.000 1.863
```

(7)
The following is a PBE calculation of Al2TcHRu after structural relaxation, from the Alexandria database.

Properties
M_tot	0.000	μB/atom
final energy	-31.72	eV/cell
density of states at the Fermi level	2.84	states/eV/f.u.

```
Al2TcHRu
1.0
4.226 0.000 0.000
0.000 4.226 0.000
0.000 0.000 3.298
Al Tc H Ru
2 1 1 1
Cartesian
0.000 2.113 0.000
2.113 0.000 0.000
0.000 0.000 1.649
0.000 0.000 0.000
2.113 2.113 1.649
```

(8)
The following is a PBE calculation of AlTeH2Ru after structural relaxation, from the Alexandria database.

Properties
M_tot	0.000	μB/atom
final energy	-20.86	eV/cell
density of states at the Fermi level	2.55	states/eV/f.u.

```
AlTeH2Ru
1.0
3.771 0.000 0.000
0.000 3.771 0.000
0.000 0.000 5.208
Al Te H Ru
1 1 2 1
Cartesian
0.000 0.000 0.000
1.886 1.886 0.000
0.000 1.886 2.604
1.886 0.000 2.604
1.886 1.886 2.604
```